No. 1
Density functional theory data (GGA-PBE) for a geometry-optimized YTc2Hg structure.

total magnetization = 0.03 Bohr magnetons per cell
space group = F-43m (216)
energy of formation = 315 meV/atom

a = 4.722 Å, b = 4.722 Å, c = 4.722 Å
α = 60.00°, β = 60.00°, γ = 60.00°
Sites, in units of the cell vectors:
Y1 0.000 0.000 0.000
Tc1 0.500 0.500 0.500
Tc2 0.750 0.750 0.750
Hg1 0.250 0.250 0.250


No. 2
Density functional theory data (GGA-PBE) for a geometry-optimized Zr3Tc2Hg structure.

total magnetization = 0.01 Bohr magnetons per cell
space group = P4/mmm (123)
energy of formation = -343 meV/atom

a = 3.331 Å, b = 3.331 Å, c = 10.429 Å
α = 90.00°, β = 90.00°, γ = 90.00°
Sites, in units of the cell vectors:
Zr1 0.000 0.000 0.000
Zr2 0.000 0.000 0.306
Zr3 0.000 0.000 0.694
Tc1 0.500 0.500 0.161
Tc2 0.500 0.500 0.839
Hg1 0.500 0.500 0.500


No. 3
Density functional theory data (GGA-PBE) for a geometry-optimized HgTe structure.

space group = P3_121 (152)

a = 4.617 Å, b = 4.617 Å, c = 10.249 Å
α = 90.00°, β = 90.00°, γ = 120.00°
Sites, in units of the cell vectors:
Hg1 0.000 0.648 0.167
Hg2 0.352 0.352 0.500
Hg3 0.648 0.000 0.833
Te1 0.000 0.536 0.667
Te2 0.464 0.464 0.000
Te3 0.536 0.000 0.333


No. 4
Density functional theory data (GGA-PBE) for a geometry-optimized HgTe structure.

space group = Pm-3m (221)

a = 3.768 Å, b = 3.768 Å, c = 3.768 Å
α = 90.00°, β = 90.00°, γ = 90.00°
Sites, in units of the cell vectors:
Hg1 0.000 0.000 0.000
Te1 0.500 0.500 0.500


No. 5
Density functional theory data (GGA-PBE) for a geometry-optimized HgTe structure.

space group = I-4m2 (119)

a = 4.655 Å, b = 4.655 Å, c = 4.655 Å
α = 119.85°, β = 119.85°, γ = 90.26°
Sites, in units of the cell vectors:
Hg1 0.000 0.000 0.000
Te1 0.250 0.750 0.500


No. 6
Density functional theory data (GGA-PBE) for a geometry-optimized HgTe structure.

space group = P3_1 (144)

a = 4.681 Å, b = 4.681 Å, c = 11.458 Å
α = 90.00°, β = 90.00°, γ = 120.00°
Sites, in units of the cell vectors:
Hg1 0.021 0.347 0.000
Hg2 0.326 0.979 0.667
Hg3 0.653 0.674 0.333
Te1 0.321 0.006 0.417
Te2 0.685 0.679 0.083
Te3 0.994 0.315 0.750


No. 7
Density functional theory data (GGA-PBE) for a geometry-optimized HgTe structure.

space group = Fm-3m (225)

a = 4.330 Å, b = 4.330 Å, c = 4.330 Å
α = 60.00°, β = 60.00°, γ = 60.00°
Sites, in units of the cell vectors:
Hg1 0.000 0.000 0.000
Te1 0.500 0.500 0.500


No. 8
Density functional theory data (GGA-PBE) for a geometry-optimized HgTe structure.

space group = F-43m (216)

a = 4.671 Å, b = 4.671 Å, c = 4.671 Å
α = 60.00°, β = 60.00°, γ = 60.00°
Sites, in units of the cell vectors:
Hg1 0.000 0.000 0.000
Te1 0.750 0.750 0.750


Taking the records one at a time from the top gives calculated density values of 10.83, 9.62, 8.64, 10.18, 7.62, 7.52, 9.49, 7.56 g cm⁻³.
Taking the records one at a time from the top gives DFT total energy values of -6.56, -8.12, -1.82, -1.47, -1.89, -1.89, -1.74, -1.89 eV per atom.